Run i
Density functional theory data (PBE) for a geometry-optimized RbMgCl2 structure.

Unit cell a=6.7788 b=6.7788 c=8.3574 alpha=66.07 beta=66.07 gamma=90.00
With the nearest neighbours (Å) after each atom.
Sites, in units of the cell vectors:
Cl: 0.3750 0.4685 0.7500  2 Mg 2.63
Cl: 0.5315 0.1250 0.2500  2 Mg 2.63
Cl: 0.8750 0.7815 0.7500  2 Mg 2.63
Cl: 0.2185 0.6250 0.2500  2 Mg 2.63
Rb: 0.7500 0.2500 0.5000  4 Cl 3.35
Rb: 0.0000 0.0000 0.0000  4 Cl 3.35
Mg: 0.5000 0.5000 0.0000  4 Cl 2.63
Mg: 0.2500 0.7500 0.5000  4 Cl 2.63

Computed properties:
As for the magnetic moment: 0.00 μB/f.u.



Run ii
Density functional theory data (PBE) for a geometry-optimized RbMgCl2 structure.

Unit cell a=5.4318 b=5.4318 c=5.4318 alpha=60.00 beta=60.00 gamma=60.00
With the nearest neighbours (Å) after each atom.
Sites, in units of the cell vectors:
Cl: 0.2500 0.2500 0.2500  4 Mg 3.33, 4 Rb 3.33
Cl: 0.7500 0.7500 0.7500  4 Mg 3.33, 4 Rb 3.33
Rb: 0.5000 0.5000 0.5000  8 Cl 3.33
Mg: 0.0000 0.0000 0.0000  8 Cl 3.33

Computed properties:
As for the magnetic moment: 0.93 μB/f.u.



Run iii
Density functional theory data (PBE) for a geometry-optimized RbMgCl2 structure.

Unit cell a=9.0080 b=9.0080 c=9.0080 alpha=29.40 beta=29.40 gamma=29.40
With the nearest neighbours (Å) after each atom.
Sites, in units of the cell vectors:
Cl: 0.0924 0.0924 0.0924  1 Mg 2.39
Cl: 0.9076 0.9076 0.9076  1 Mg 2.39
Mg: 0.0000 0.0000 0.0000  2 Cl 2.39
Rb: 0.5000 0.5000 0.5000  6 Cl 3.26

Computed properties:
As for the magnetic moment: 0.00 μB/f.u.



Which of them is the least stable? Correct choice: run ii.



Run i
Density functional theory data (PBE) for a geometry-optimized RbMg2Cl structure.

Unit cell a=9.6049 b=9.6049 c=7.4741 alpha=50.02 beta=50.02 gamma=90.00
With the nearest neighbours (Å) after each atom.
Sites, in units of the cell vectors:
Rb: 0.0000 0.0000 0.0000  2 Cl 3.12
Rb: 0.7500 0.2500 0.5000  2 Cl 3.12
Mg: 0.3750 0.4278 0.7500  2 Cl 3.16, 2 Mg 3.28
Mg: 0.1778 0.6250 0.2500  2 Cl 3.16, 2 Mg 3.28
Mg: 0.5722 0.1250 0.2500  2 Cl 3.16, 2 Mg 3.28
Mg: 0.8750 0.8222 0.7500  2 Cl 3.16, 2 Mg 3.28
Cl: 0.5000 0.5000 0.0000  2 Rb 3.12, 4 Mg 3.16
Cl: 0.2500 0.7500 0.5000  2 Rb 3.12, 4 Mg 3.16

Computed properties:
As for the magnetic moment: 0.00 μB/f.u.



Run ii
Density functional theory data (PBE) for a geometry-optimized RbMg2Cl structure.

Unit cell a=6.0094 b=6.0094 c=6.0094 alpha=60.00 beta=60.00 gamma=60.00
With the nearest neighbours (Å) after each atom.
Sites, in units of the cell vectors:
Mg: 0.7500 0.7500 0.7500  4 Cl 3.68, 4 Rb 3.68
Mg: 0.2500 0.2500 0.2500  4 Rb 3.68, 4 Cl 3.68
Cl: 0.0000 0.0000 0.0000  8 Mg 3.68
Rb: 0.5000 0.5000 0.5000  8 Mg 3.68

Computed properties:
As for the magnetic moment: 0.00 μB/f.u.



Which of them is the least stable? Correct choice: run ii.



Run i
Density functional theory data (PBE) for a geometry-optimized MgReCl2 structure.

Unit cell a=3.1920 b=3.9217 c=6.2029 alpha=90.00 beta=90.00 gamma=90.00
With the nearest neighbours (Å) after each atom.
Sites, in units of the cell vectors:
Cl: 0.0000 0.0000 0.4971  4 Mg 2.96, 4 Re 2.98, 4 Cl 3.07-3.19
Cl: 0.0000 0.0000 0.0029  4 Mg 2.96, 4 Re 2.98, 4 Cl 3.07-3.19
Re: 0.5000 0.5000 0.7500  8 Cl 2.98, 2 Mg 3.10, 2 Re 3.19
Mg: 0.5000 0.5000 0.2500  8 Cl 2.96, 2 Re 3.10, 2 Mg 3.19

Computed properties:
As for the magnetic moment: 3.57 μB/f.u.



Run ii
Density functional theory data (PBE) for a geometry-optimized MgReCl2 structure.

Unit cell a=4.1207 b=3.0124 c=5.6773 alpha=97.08 beta=90.00 gamma=90.00
With the nearest neighbours (Å) after each atom.
Sites, in units of the cell vectors:
Re: 0.5000 0.7500 0.7500  4 Cl 2.48
Mg: 0.5000 0.2500 0.2500  4 Cl 2.74, 2 Mg 3.01, 2 Re 3.05
Cl: 0.0000 0.6711 0.5063  2 Re 2.48, 2 Mg 2.74, 1 Cl 2.75
Cl: 0.0000 0.8289 0.9937  2 Re 2.48, 2 Mg 2.74, 1 Cl 2.75

Computed properties:
As for the magnetic moment: 0.00 μB/f.u.



Run iii
Density functional theory data (PBE) for a geometry-optimized MgReCl2 structure.

Unit cell a=4.9599 b=4.9599 c=4.9599 alpha=60.00 beta=60.00 gamma=60.00
With the nearest neighbours (Å) after each atom.
Sites, in units of the cell vectors:
Cl: 0.0000 0.0000 0.0000  4 Cl 3.04, 4 Re 3.04
Cl: 0.2500 0.2500 0.2500  4 Cl 3.04, 4 Mg 3.04
Mg: 0.5000 0.5000 0.5000  4 Re 3.04, 4 Cl 3.04
Re: 0.7500 0.7500 0.7500  4 Cl 3.04, 4 Mg 3.04

Computed properties:
As for the magnetic moment: 5.03 μB/f.u.



Which of them is the least stable? Correct choice: run iii.



Run i
Density functional theory data (PBE) for a geometry-optimized MgReCl2 structure.

Unit cell a=7.4413 b=7.4413 c=4.8044 alpha=95.28 beta=95.28 gamma=23.11
With the nearest neighbours (Å) after each atom.
Sites, in units of the cell vectors:
Cl: 0.1050 0.1050 0.0204  1 Re 2.29
Cl: 0.3950 0.3950 0.4796  1 Re 2.29
Re: 0.2500 0.2500 0.2500  2 Cl 2.29
Mg: 0.7500 0.7500 0.7500  4 Re 2.83, 2 Mg 2.98, 4 Cl 2.98

Computed properties:
As for the magnetic moment: 1.22 μB/f.u.



Run ii
Density functional theory data (PBE) for a geometry-optimized MgReCl2 structure.

Unit cell a=8.5075 b=8.5075 c=8.5075 alpha=20.98 beta=20.98 gamma=20.98
With the nearest neighbours (Å) after each atom.
Sites, in units of the cell vectors:
Cl: 0.0963 0.0963 0.0963  1 Re 2.40, 3 Mg 2.51
Cl: 0.9037 0.9037 0.9037  1 Re 2.40, 3 Mg 2.51
Mg: 0.5000 0.5000 0.5000  6 Cl 2.51
Re: 0.0000 0.0000 0.0000  2 Cl 2.40

Computed properties:
As for the magnetic moment: 0.00 μB/f.u.



Run iii
Density functional theory data (PBE) for a geometry-optimized MgReCl2 structure.

Unit cell a=8.9829 b=8.9829 c=8.9829 alpha=160.37 beta=160.07 gamma=28.11
With the nearest neighbours (Å) after each atom.
Sites, in units of the cell vectors:
Cl: 0.9798 0.9798 0.0000  4 Mg 2.60
Cl: 0.2632 0.7632 0.5000  4 Re 2.47
Mg: 0.5605 0.5605 0.0000  4 Cl 2.60, 2 Re 2.82
Re: 0.6966 0.1966 0.5000  4 Cl 2.47

Computed properties:
As for the magnetic moment: 0.00 μB/f.u.



Run iv
Density functional theory data (PBE) for a geometry-optimized MgReCl2 structure.

Unit cell a=6.3344 b=6.3344 c=6.3344 alpha=146.53 beta=146.53 gamma=48.05
With the nearest neighbours (Å) after each atom.
Sites, in units of the cell vectors:
Re: 0.2500 0.7500 0.5000  4 Cl 2.58
Cl: 0.0000 0.0000 0.0000  4 Mg 2.58
Cl: 0.7500 0.2500 0.5000  4 Re 2.58
Mg: 0.5000 0.5000 0.0000  4 Cl 2.58

Computed properties:
As for the magnetic moment: 2.56 μB/f.u.



Which of them is the least stable? Correct choice: run iv.